Record 1
# KHo2CuMo4O16 | Alexandria via LeMat-Bulk | PBEsol | relaxed
# space-group type = No. 15
# uncorrected energy = -8.421 eV/atom
data_KHo2CuMo4O16
_space_group_name_H-M_alt 'P 1'
_space_group_IT_number 1
_cell_length_a 5.1705
_cell_length_b 6.7154
_cell_length_c 19.3668
_cell_angle_alpha 88.41
_cell_angle_beta 85.86
_cell_angle_gamma 67.36
loop_
_space_group_symop_operation_xyz
'x,y,z'
loop_
_atom_site_label
_atom_site_type_symbol
_atom_site_fract_x
_atom_site_fract_y
_atom_site_fract_z
Mo1 Mo 0.2668 0.4899 0.8544
O1 O 0.2191 0.0386 0.4626
O2 O 0.4033 0.6951 0.3695
O3 O 0.5761 0.4735 0.0669
O4 O 0.5967 0.3049 0.6305
Mo2 Mo 0.4595 0.1236 0.4078
O5 O 0.0616 0.4149 0.7146
O6 O 0.3253 0.8974 0.1008
O7 O 0.9016 0.6951 0.1305
O8 O 0.2613 0.7332 0.6684
O9 O 0.9504 0.4735 0.4331
Ho1 Ho 0.8522 0.2935 0.9689
O10 O 0.7387 0.2668 0.3316
K1 K 0.9678 0.0644 0.7500
O11 O 0.3070 0.1763 0.3280
O12 O 0.4965 0.3380 0.4589
O13 O 0.4239 0.5265 0.9331
Cu1 Cu 0.3138 0.3724 0.2500
K2 K 0.0322 0.9356 0.2500
Mo3 Mo 0.4169 0.1236 0.0922
O14 O 0.2227 0.1026 0.6008
O15 O 0.0496 0.5265 0.5669
O16 O 0.5035 0.6620 0.5411
O17 O 0.9945 0.2668 0.1684
Ho2 Ho 0.8543 0.2935 0.5311
O18 O 0.1655 0.3380 0.0411
O19 O 0.4833 0.8237 0.8280
O20 O 0.6747 0.1026 0.8992
O21 O 0.4765 0.5851 0.2146
O22 O 0.9384 0.5851 0.2854
Mo4 Mo 0.7567 0.5101 0.3544
Mo5 Mo 0.5405 0.8764 0.5922
O23 O 0.8345 0.6620 0.9589
Mo6 Mo 0.7332 0.5101 0.1456
O24 O 0.0055 0.7332 0.8316
O25 O 0.7773 0.8974 0.3992
O26 O 0.7809 0.9614 0.5374
O27 O 0.5235 0.4149 0.7854
Mo7 Mo 0.5831 0.8764 0.9078
O28 O 0.2577 0.9614 0.9626
Ho3 Ho 0.1457 0.7065 0.4689
O29 O 0.6930 0.8237 0.6720
O30 O 0.7423 0.0386 0.0374
O31 O 0.5167 0.1763 0.1720
Ho4 Ho 0.1478 0.7065 0.0311
Cu2 Cu 0.6862 0.6276 0.7500
O32 O 0.0984 0.3049 0.8695
Mo8 Mo 0.2433 0.4899 0.6456

Record 2
# AlRe5 | Alexandria via LeMat-Bulk | PBEsol | relaxed
# space-group type = No. 38
# formation energy from the elements = -35.1 meV per atom
# N(E_F) = 4.7 states/eV per cell
# ΔE to the lowest computed polymorph = 0.00 eV per formula unit
data_AlRe5
_space_group_name_H-M_alt 'P 1'
_space_group_IT_number 1
_cell_length_a 2.8070
_cell_length_b 4.4250
_cell_length_c 7.1259
_cell_angle_alpha 90.00
_cell_angle_beta 101.36
_cell_angle_gamma 90.00
loop_
_space_group_symop_operation_xyz
'x,y,z'
loop_
_atom_site_label
_atom_site_type_symbol
_atom_site_fract_x
_atom_site_fract_y
_atom_site_fract_z
Re1 Re 0.6688 0.0000 0.3377
Re2 Re 0.1096 0.5000 0.2192
Al1 Al 0.9970 0.0000 0.9941
Re3 Re 0.7775 0.5000 0.5551
Re4 Re 0.3343 0.0000 0.6687
Re5 Re 0.4460 0.5000 0.8920

Record 3
# Dy5NiPb3 | Alexandria via LeMat-Bulk | PBEsol | relaxed
# space-group type = No. 193
# formation energy from the elements = -561.3 meV per atom
# N(E_F) = 12.3 states/eV per cell
data_Dy5NiPb3
_space_group_name_H-M_alt 'P 1'
_space_group_IT_number 1
_cell_length_a 6.5676
_cell_length_b 9.0349
_cell_length_c 9.0349
_cell_angle_alpha 120.00
_cell_angle_beta 90.00
_cell_angle_gamma 90.00
loop_
_space_group_symop_operation_xyz
'x,y,z'
loop_
_atom_site_label
_atom_site_type_symbol
_atom_site_fract_x
_atom_site_fract_y
_atom_site_fract_z
Ni1 Ni 0.0000 0.0000 0.0000
Dy1 Dy 0.0000 0.3333 0.6667
Pb1 Pb 0.2500 0.6010 0.6010
Dy2 Dy 0.5000 0.6667 0.3333
Pb2 Pb 0.2500 0.0000 0.3990
Dy3 Dy 0.2500 0.2395 0.2395
Pb3 Pb 0.7500 0.6010 0.0000
Pb4 Pb 0.2500 0.3990 0.0000
Dy4 Dy 0.2500 0.0000 0.7605
Ni2 Ni 0.5000 0.0000 0.0000
Dy5 Dy 0.7500 0.2395 0.0000
Dy6 Dy 0.0000 0.6667 0.3333
Dy7 Dy 0.5000 0.3333 0.6667
Pb5 Pb 0.7500 0.0000 0.6010
Dy8 Dy 0.7500 0.0000 0.2395
Dy9 Dy 0.2500 0.7605 0.0000
Dy10 Dy 0.7500 0.7605 0.7605
Pb6 Pb 0.7500 0.3990 0.3990

Record 4
# BaGa3C | Alexandria via LeMat-Bulk | PBEsol | relaxed
# space-group type = No. 221
# formation energy from the elements = 599.0 meV per atom
# N(E_F) = 3.5 states/eV per cell
data_BaGa3C
_space_group_name_H-M_alt 'P 1'
_space_group_IT_number 1
_cell_length_a 4.6654
_cell_length_b 4.6654
_cell_length_c 4.6654
_cell_angle_alpha 90.00
_cell_angle_beta 90.00
_cell_angle_gamma 90.00
loop_
_space_group_symop_operation_xyz
'x,y,z'
loop_
_atom_site_label
_atom_site_type_symbol
_atom_site_fract_x
_atom_site_fract_y
_atom_site_fract_z
C1 C 0.0000 0.0000 0.0000
Ga1 Ga 0.0000 0.5000 0.0000
Ga2 Ga 0.0000 0.0000 0.5000
Ga3 Ga 0.5000 0.0000 0.0000
Ba1 Ba 0.5000 0.5000 0.5000

Record 5
# TaCdIr | Alexandria via LeMat-Bulk | PBEsol | relaxed
# space-group type = No. 216
# formation energy from the elements = 182.3 meV per atom
# N(E_F) = 5.3 states/eV per cell
data_TaCdIr
_space_group_name_H-M_alt 'P 1'
_space_group_IT_number 1
_cell_length_a 4.3613
_cell_length_b 4.3613
_cell_length_c 4.3613
_cell_angle_alpha 60.00
_cell_angle_beta 60.00
_cell_angle_gamma 60.00
loop_
_space_group_symop_operation_xyz
'x,y,z'
loop_
_atom_site_label
_atom_site_type_symbol
_atom_site_fract_x
_atom_site_fract_y
_atom_site_fract_z
Ta1 Ta 0.0000 0.0000 0.0000
Ir1 Ir 0.2500 0.2500 0.2500
Cd1 Cd 0.5000 0.5000 0.5000

Record 6
# Li2HfNi2 | Alexandria via LeMat-Bulk | PBEsol | relaxed
# space-group type = No. 139
# formation energy from the elements = -100.3 meV per atom
# N(E_F) = 2.2 states/eV per cell
data_Li2HfNi2
_space_group_name_H-M_alt 'P 1'
_space_group_IT_number 1
_cell_length_a 3.3270
_cell_length_b 3.3270
_cell_length_c 6.6783
_cell_angle_alpha 104.42
_cell_angle_beta 104.42
_cell_angle_gamma 90.00
loop_
_space_group_symop_operation_xyz
'x,y,z'
loop_
_atom_site_label
_atom_site_type_symbol
_atom_site_fract_x
_atom_site_fract_y
_atom_site_fract_z
Hf1 Hf 0.0000 0.0000 0.0000
Li1 Li 0.7500 0.2500 0.5000
Li2 Li 0.2500 0.7500 0.5000
Ni1 Ni 0.4050 0.4050 0.8099
Ni2 Ni 0.5950 0.5950 0.1901

Record 7
# Zn2InSb | Alexandria via LeMat-Bulk | PBEsol | relaxed
# space-group type = No. 6
# N(E_F) = 1.5 states/eV per cell
# ΔE to the lowest computed polymorph = 0.00 eV per formula unit
data_Zn2InSb
_space_group_name_H-M_alt 'P 1'
_space_group_IT_number 1
_cell_length_a 4.1943
_cell_length_b 4.4013
_cell_length_c 4.7781
_cell_angle_alpha 90.00
_cell_angle_beta 104.85
_cell_angle_gamma 90.00
loop_
_space_group_symop_operation_xyz
'x,y,z'
loop_
_atom_site_label
_atom_site_type_symbol
_atom_site_fract_x
_atom_site_fract_y
_atom_site_fract_z
Sb1 Sb 0.2160 0.5000 0.8118
In1 In 0.5269 0.0000 0.4437
Zn1 Zn 0.9208 0.0000 0.0047
Zn2 Zn 0.8364 0.5000 0.2398

Record 8
# La2Si2Ge | Alexandria via LeMat-Bulk | PBEsol | relaxed
# space-group type = No. 127
# N(E_F) = 4.0 states/eV per cell
# uncorrected energy = -6.113 eV/atom
data_La2Si2Ge
_space_group_name_H-M_alt 'P 1'
_space_group_IT_number 1
_cell_length_a 4.4441
_cell_length_b 7.2325
_cell_length_c 7.2325
_cell_angle_alpha 90.00
_cell_angle_beta 90.00
_cell_angle_gamma 90.00
loop_
_space_group_symop_operation_xyz
'x,y,z'
loop_
_atom_site_label
_atom_site_type_symbol
_atom_site_fract_x
_atom_site_fract_y
_atom_site_fract_z
La1 La 0.5000 0.8183 0.3183
Ge1 Ge 0.0000 0.5000 0.5000
Si1 Si 0.0000 0.6161 0.1161
La2 La 0.5000 0.1817 0.6817
Si2 Si 0.0000 0.3839 0.8839
La3 La 0.5000 0.3183 0.1817
Si3 Si 0.0000 0.1161 0.3839
Si4 Si 0.0000 0.8839 0.6161
La4 La 0.5000 0.6817 0.8183
Ge2 Ge 0.0000 0.0000 0.0000

no.,theoretical density (g/cm³),magnetization (μB/f.u.)
1,5.753,0.07
2,18.333,0.00
3,10.678,0.00
4,5.862,0.00
5,13.746,0.02
6,7.435,0.00
7,7.156,0.00
8,5.809,0.00